Density functional theory data (PBEsol) for an optimized crystal structure of KRh2Au.

Values from the calculation:
Density ... 10.692 Mg/m³
Formation enthalpy at 0 K ... 0.90 eV/atom

Unit cell a=6.499 b=6.499 c=6.499 alpha=90.00 beta=90.00 gamma=90.00
Space group Fm-3m (No. 225)
Inequivalent atoms, fractional coordinates:
1 K 0.000 0.000 0.000
2 Rh 0.250 0.250 0.250
3 Au 0.000 0.000 0.500

=====

Density functional theory data (PBEsol) for an optimized crystal structure of KRh2Au.

Values from the calculation:
Density ... 10.820 Mg/m³
Formation enthalpy at 0 K ... 0.60 eV/atom

Unit cell a=2.7886 b=2.7886 c=30.2082 alpha=90.00 beta=90.00 gamma=120.00
Space group R-3m (No. 166, hexagonal axes)
Inequivalent atoms, fractional coordinates:
1 K 0.0000 0.0000 0.0000
2 Rh 0.0000 0.0000 0.2423
3 Au 0.0000 0.0000 0.5000

=====

Density functional theory data (PBEsol) for an optimized crystal structure of KRhAu2.

Values from the calculation:
Density ... 10.346 Mg/m³
Formation enthalpy at 0 K ... 0.23 eV/atom

Unit cell a=2.733 b=4.585 c=6.865 alpha=90.00 beta=90.14 gamma=90.00
Space group Pm (No. 6)
Inequivalent atoms, fractional coordinates:
1 K 0.000 0.000 0.000
2 Rh 0.997 0.500 0.386
3 Au 0.497 0.000 0.432
4 Au 0.499 0.500 0.722

=====

Number 1: D(E_F) 6.91 states/eV/f.u.. Number 2: D(E_F) 6.73 states/eV/f.u.. Number 3: D(E_F) 3.12 states/eV/f.u..